Entry 1:
The following is a DFT calculation (PBE-GGA) of a geometry-optimized Nd2GePt structure.

Cell: 7.053 7.053 7.053 Å, 36.23 36.23 36.23°
Sites, in units of the cell vectors:
1 Nd 0.249 0.249 0.249
2 Nd 0.751 0.751 0.751
3 Ge 0.000 0.000 0.000
4 Pt 0.500 0.500 0.500

## Properties
Space-group type ... R-3m, No. 166
Total energy ... -23.4 eV/cell

=====

Entry 2:
The following is a DFT calculation (PBE-GGA) of a geometry-optimized NdGe3Pt3 structure.

Cell: 7.899 7.899 7.899 Å, 53.91 53.91 53.91°
Sites, in units of the cell vectors:
1 Nd 0.166 0.166 0.166
2 Nd 0.834 0.834 0.834
3 Ge 0.113 0.707 0.417
4 Ge 0.293 0.583 0.887
5 Ge 0.417 0.113 0.707
6 Ge 0.583 0.887 0.293
7 Ge 0.707 0.417 0.113
8 Ge 0.887 0.293 0.583
9 Pt 0.026 0.375 0.738
10 Pt 0.262 0.974 0.625
11 Pt 0.375 0.738 0.026
12 Pt 0.625 0.262 0.974
13 Pt 0.738 0.026 0.375
14 Pt 0.974 0.625 0.262

## Properties
Space-group type ... R-3, No. 148
Total energy ... -81.8 eV/cell

=====

Entry 3:
The following is a DFT calculation (PBE-GGA) of a geometry-optimized NdGe2Pt structure.

Cell: 9.682 9.682 9.682 Å, 153.41 125.48 61.66°
Sites, in units of the cell vectors:
1 Nd 0.203 0.203 0.000
2 Nd 0.244 0.000 0.244
3 Nd 0.756 0.000 0.756
4 Nd 0.797 0.797 0.000
5 Ge 0.074 0.574 0.500
6 Ge 0.152 0.803 0.350
7 Ge 0.425 0.425 0.000
8 Ge 0.453 0.803 0.650
9 Ge 0.547 0.197 0.350
10 Ge 0.575 0.575 0.000
11 Ge 0.848 0.197 0.650
12 Ge 0.926 0.426 0.500
13 Pt 0.102 0.351 0.751
14 Pt 0.401 0.649 0.751
15 Pt 0.599 0.351 0.249
16 Pt 0.898 0.649 0.249

## Properties
Space-group type ... Immm, No. 71
Total energy ... -94.7 eV/cell

=====

Entry 4:
The following is a DFT calculation (PBE-GGA) of a geometry-optimized NdGePt structure.

Cell: 5.188 5.188 5.188 Å, 134.82 134.82 65.81°
Sites, in units of the cell vectors:
1 Nd 0.000 0.000 0.000
2 Ge 0.334 0.334 0.000
3 Pt 0.631 0.631 0.000

## Properties
Space-group type ... I4mm, No. 107
Total energy ... -17.1 eV/cell

=====

Question: What is the formula in the third record?
Answer: NdGe2Pt

=====

Question: What is the formula in the third record?
Answer: NdGe2Pt